The following is a PBE calculation of a geometry-optimized MgAsSe3 structure, from Alexandria via LeMat-Bulk.

Cell and atoms, written as CIF:
```
data_MgAsSe3
_chemical_formula_sum 'Mg1 As1 Se3'
_cell_length_a 4.966
_cell_length_b 4.966
_cell_length_c 4.966
_cell_angle_alpha 90.00
_cell_angle_beta 90.00
_cell_angle_gamma 90.00
_space_group_name_H-M_alt 'P m -3 m'
_space_group_IT_number 221
_space_group_name_Hall '-P 4 2 3'
loop_
_atom_site_label
_atom_site_type_symbol
_atom_site_fract_x
_atom_site_fract_y
_atom_site_fract_z
Mg1 Mg 0.000 0.000 0.000
As1 As 0.500 0.500 0.500
Se1 Se 0.000 0.000 0.500
```

N(E_F) = 6.550 states/eV per cell
E_tot = -14.81 eV per cell
Formation energy without anion corrections = 0.377 eV/atom

***

The following is a PBE calculation of a geometry-optimized AlGaO2F structure, from Alexandria via LeMat-Bulk.

Cell and atoms, written as CIF:
```
data_AlGaO2F
_chemical_formula_sum 'Al1 Ga1 O2 F1'
_cell_length_a 3.876
_cell_length_b 3.876
_cell_length_c 3.809
_cell_angle_alpha 90.00
_cell_angle_beta 90.00
_cell_angle_gamma 90.00
_space_group_name_H-M_alt 'P 4/m m m'
_space_group_IT_number 123
_space_group_name_Hall '-P 4 2'
loop_
_atom_site_label
_atom_site_type_symbol
_atom_site_fract_x
_atom_site_fract_y
_atom_site_fract_z
Al1 Al 0.000 0.000 0.000
Ga1 Ga 0.500 0.500 0.500
O1 O 0.000 0.500 0.500
F1 F 0.500 0.500 0.000
```

N(E_F) = 1.935 states/eV per cell
E_tot = -25.20 eV per cell
Formation energy without anion corrections = -1.329 eV/atom

***

The following is a PBE calculation of a geometry-optimized Rb2Mg3ZnSn4 structure, from Alexandria via LeMat-Bulk.

Cell and atoms, written as CIF:
```
data_Rb2Mg3ZnSn4
_chemical_formula_sum 'Rb2 Mg3 Zn1 Sn4'
_cell_length_a 4.824
_cell_length_b 4.824
_cell_length_c 12.759
_cell_angle_alpha 90.00
_cell_angle_beta 90.00
_cell_angle_gamma 90.00
_space_group_name_H-M_alt 'P -4 m 2'
_space_group_IT_number 115
_space_group_name_Hall 'P -4 -2'
loop_
_atom_site_label
_atom_site_type_symbol
_atom_site_fract_x
_atom_site_fract_y
_atom_site_fract_z
Rb1 Rb 0.000 0.500 0.242
Mg1 Mg 0.000 0.000 0.000
Mg2 Mg 0.000 0.500 0.643
Zn1 Zn 0.500 0.500 0.000
Sn1 Sn 0.000 0.000 0.500
Sn2 Sn 0.000 0.500 0.873
Sn3 Sn 0.500 0.500 0.500
```

N(E_F) = 6.480 states/eV per cell
E_tot = -25.37 eV per cell

***

The following is a PBE calculation of a geometry-optimized ThInHgGe structure, from Alexandria via LeMat-Bulk.

Cell and atoms, written as CIF:
```
data_ThInHgGe
_chemical_formula_sum 'Th2 In2 Hg2 Ge2'
_cell_length_a 4.563
_cell_length_b 4.563
_cell_length_c 9.622
_cell_angle_alpha 90.00
_cell_angle_beta 90.00
_cell_angle_gamma 90.00
_space_group_name_H-M_alt 'P 4/n m m'
_space_group_IT_number 129
loop_
_space_group_symop_operation_xyz
'x,y,z'
'-x,-y,-z'
'-y+1/2,x,z'
'y+1/2,-x,-z'
'-x+1/2,-y+1/2,z'
'x+1/2,y+1/2,-z'
'y,-x+1/2,z'
'-y,x+1/2,-z'
'x+1/2,-y,-z'
'-x+1/2,y,z'
'-y,-x,-z'
'y,x,z'
'-x,y+1/2,-z'
'x,-y+1/2,z'
'y+1/2,x+1/2,-z'
'-y+1/2,-x+1/2,z'
loop_
_atom_site_label
_atom_site_type_symbol
_atom_site_fract_x
_atom_site_fract_y
_atom_site_fract_z
Th1 Th 0.250 0.250 0.223
In1 In 0.250 0.250 0.719
Hg1 Hg 0.250 0.750 0.500
Ge1 Ge 0.250 0.750 0.000
```

N(E_F) = 8.305 states/eV per cell
E_tot = -32.03 eV per cell

***

The following is a PBE calculation of a geometry-optimized Nd5YHo structure, from Alexandria via LeMat-Bulk.

Cell and atoms, written as CIF:
```
data_Nd5YHo
_chemical_formula_sum 'Nd20 Y4 Ho4'
_cell_length_a 6.216
_cell_length_b 17.699
_cell_length_c 9.066
_cell_angle_alpha 90.00
_cell_angle_beta 101.14
_cell_angle_gamma 90.00
_space_group_name_H-M_alt 'C 1 2/c 1'
_space_group_IT_number 15
_space_group_name_Hall '-C 2yc'
loop_
_atom_site_label
_atom_site_type_symbol
_atom_site_fract_x
_atom_site_fract_y
_atom_site_fract_z
Nd1 Nd 0.000 0.142 0.250
Nd2 Nd 0.111 0.347 0.964
Nd3 Nd 0.202 0.185 0.647
Y1 Y 0.000 0.000 0.000
Ho1 Ho 0.000 0.489 0.250
```

Energy above the lowest structure with this stoichiometry = 19 meV per atom
N(E_F) = 41.681 states/eV per cell
E_tot = -134.74 eV per cell

***

The following is a PBE calculation of a geometry-optimized NiAgAu2 structure, from Alexandria via LeMat-Bulk.

Cell and atoms, written as CIF:
```
data_NiAgAu2
_chemical_formula_sum 'Ni2 Ag2 Au4'
_cell_length_a 4.025
_cell_length_b 4.025
_cell_length_c 8.041
_cell_angle_alpha 90.00
_cell_angle_beta 90.00
_cell_angle_gamma 90.00
_space_group_name_H-M_alt 'I -4 m 2'
_space_group_IT_number 119
_space_group_name_Hall 'I -4 -2'
loop_
_atom_site_label
_atom_site_type_symbol
_atom_site_fract_x
_atom_site_fract_y
_atom_site_fract_z
Ni1 Ni 0.000 0.000 0.000
Ag1 Ag 0.000 0.500 0.750
Au1 Au 0.000 0.000 0.500
Au2 Au 0.000 0.500 0.250
```

Energy above the lowest structure with this stoichiometry = 71 meV per atom
N(E_F) = 5.139 states/eV per cell
E_tot = -29.59 eV per cell

***

The following is a PBE calculation of a geometry-optimized Pm8ZnPt2 structure, from Alexandria via LeMat-Bulk.

Cell and atoms, written as CIF:
```
data_Pm8ZnPt2
_chemical_formula_sum 'Pm16 Zn2 Pt4'
_cell_length_a 8.701
_cell_length_b 13.592
_cell_length_c 5.784
_cell_angle_alpha 90.00
_cell_angle_beta 105.55
_cell_angle_gamma 90.00
_space_group_name_H-M_alt 'C 1 m 1'
_space_group_IT_number 8
_space_group_name_Hall 'C -2y'
loop_
_atom_site_label
_atom_site_type_symbol
_atom_site_fract_x
_atom_site_fract_y
_atom_site_fract_z
Pm1 Pm 0.000 0.000 0.000
Pm2 Pm 0.085 0.375 0.770
Pm3 Pm 0.170 0.125 0.594
Pm4 Pm 0.260 0.500 0.375
Pm5 Pm 0.375 0.237 0.187
Zn1 Zn 0.376 0.000 0.259
Pt1 Pt 0.378 0.303 0.687
```

Energy above the lowest structure with this stoichiometry = 107 meV per atom
N(E_F) = 28.159 states/eV per cell
E_tot = -110.91 eV per cell

***

The following is a PBE calculation of a geometry-optimized Zr2CuPt structure, from Alexandria via LeMat-Bulk.

Cell and atoms, written as CIF:
```
data_Zr2CuPt
_chemical_formula_sum 'Zr2 Cu1 Pt1'
_cell_length_a 3.414
_cell_length_b 3.414
_cell_length_c 6.332
_cell_angle_alpha 90.00
_cell_angle_beta 90.00
_cell_angle_gamma 90.00
_space_group_name_H-M_alt 'P 4 m m'
_space_group_IT_number 99
_space_group_name_Hall 'P 4 -2'
loop_
_atom_site_label
_atom_site_type_symbol
_atom_site_fract_x
_atom_site_fract_y
_atom_site_fract_z
Zr1 Zr 0.000 0.000 0.000
Zr2 Zr 0.500 0.500 0.319
Cu1 Cu 0.000 0.000 0.546
Pt1 Pt 0.500 0.500 0.772
```

N(E_F) = 2.314 states/eV per cell
E_tot = -29.34 eV per cell

***

The following is a PBE calculation of a geometry-optimized TbErGa2 structure, from Alexandria via LeMat-Bulk.

Cell and atoms, written as CIF:
```
data_TbErGa2
_chemical_formula_sum 'Tb1 Er1 Ga2'
_cell_length_a 3.565
_cell_length_b 3.565
_cell_length_c 7.126
_cell_angle_alpha 90.00
_cell_angle_beta 90.00
_cell_angle_gamma 90.00
_space_group_name_H-M_alt 'P 4/m m m'
_space_group_IT_number 123
_space_group_name_Hall '-P 4 2'
loop_
_atom_site_label
_atom_site_type_symbol
_atom_site_fract_x
_atom_site_fract_y
_atom_site_fract_z
Tb1 Tb 0.000 0.000 0.000
Er1 Er 0.000 0.000 0.500
Ga1 Ga 0.500 0.500 0.255
```

N(E_F) = 1.845 states/eV per cell
E_tot = -17.58 eV per cell

***

The following is a PBE calculation of a geometry-optimized SrMoW3 structure, from Alexandria via LeMat-Bulk.

Cell and atoms, written as CIF:
```
data_SrMoW3
_chemical_formula_sum 'Sr1 Mo1 W3'
_cell_length_a 4.882
_cell_length_b 4.882
_cell_length_c 4.882
_cell_angle_alpha 90.00
_cell_angle_beta 90.00
_cell_angle_gamma 90.00
_space_group_name_H-M_alt 'P m -3 m'
_space_group_IT_number 221
_space_group_name_Hall '-P 4 2 3'
loop_
_atom_site_label
_atom_site_type_symbol
_atom_site_fract_x
_atom_site_fract_y
_atom_site_fract_z
Sr1 Sr 0.000 0.000 0.000
Mo1 Mo 0.500 0.500 0.500
W1 W 0.000 0.500 0.500
```

Energy above the lowest structure with this stoichiometry = 0 meV per atom
N(E_F) = 9.255 states/eV per cell
E_tot = -42.64 eV per cell

***

The following is a PBE calculation of a geometry-optimized ScSnO2F structure, from Alexandria via LeMat-Bulk.

Cell and atoms, written as CIF:
```
data_ScSnO2F
_chemical_formula_sum 'Sc1 Sn1 O2 F1'
_cell_length_a 4.167
_cell_length_b 4.167
_cell_length_c 4.053
_cell_angle_alpha 90.00
_cell_angle_beta 90.00
_cell_angle_gamma 90.00
_space_group_name_H-M_alt 'P 4/m m m'
_space_group_IT_number 123
_space_group_name_Hall '-P 4 2'
loop_
_atom_site_label
_atom_site_type_symbol
_atom_site_fract_x
_atom_site_fract_y
_atom_site_fract_z
Sc1 Sc 0.000 0.000 0.000
Sn1 Sn 0.500 0.500 0.500
O1 O 0.000 0.500 0.000
F1 F 0.000 0.000 0.500
```

E_tot = -34.32 eV per cell
Formation energy without anion corrections = -2.439 eV/atom

***

The following is a PBE calculation of a geometry-optimized FeCoAs2P structure, from Alexandria via LeMat-Bulk.

Cell and atoms, written as CIF:
```
data_FeCoAs2P
_chemical_formula_sum 'Fe1 Co1 As2 P1'
_cell_length_a 4.390
_cell_length_b 4.390
_cell_length_c 4.557
_cell_angle_alpha 90.00
_cell_angle_beta 90.00
_cell_angle_gamma 90.00
_space_group_name_H-M_alt 'P 4/m m m'
_space_group_IT_number 123
_space_group_name_Hall '-P 4 2'
loop_
_atom_site_label
_atom_site_type_symbol
_atom_site_fract_x
_atom_site_fract_y
_atom_site_fract_z
Fe1 Fe 0.000 0.000 0.000
Co1 Co 0.000 0.000 0.500
As1 As 0.000 0.500 0.000
P1 P 0.500 0.500 0.500
```

N(E_F) = 4.498 states/eV per cell
E_tot = -26.34 eV per cell

***

> Which of these has the highest E_tot?

MgAsSe3

***

> Number 10 is which compound?

SrMoW3

***

> Among the records above, which one has the highest E_tot?

MgAsSe3